1.
First-principles (GGA-PBE) data for a geometry-optimized Mo2HRhAu structure, as listed in the Alexandria database.

The density of states at the Fermi level comes out at 4.98 states/eV/cell. The total magnetization is 0.0 Bohr magnetons per cell. The calculation puts the total energy at -7.035 eV per atom.

The structure belongs to space group P4/mmm (No. 123); the cell edges are 3.953, 3.953 and 4.155 Å and the angles 90.00°, 90.00° and 90.00°. Symmetry generates all atoms from Mo at (0.000, 0.500, 0.000), H at (0.000, 0.000, 0.000), Rh at (0.000, 0.000, 0.500) and Au at (0.500, 0.500, 0.500).

2.
First-principles (GGA-PBE) data for a geometry-optimized MoHRu2Au structure, as listed in the Alexandria database.

The density of states at the Fermi level comes out at 5.86 states/eV/cell. The total magnetization is 0.0 Bohr magnetons per cell. The calculation puts the total energy at -6.980 eV per atom.

The structure belongs to space group P4/mmm (No. 123); the cell edges are 3.996, 3.996 and 3.938 Å and the angles 90.00°, 90.00° and 90.00°. Symmetry generates all atoms from Mo at (0.000, 0.000, 0.000), H at (0.000, 0.000, 0.500), Ru at (0.000, 0.500, 0.500) and Au at (0.500, 0.500, 0.000).

3.
First-principles (GGA-PBE) data for a geometry-optimized SnMo2HAu structure, as listed in the Alexandria database.

The density of states at the Fermi level comes out at 5.40 states/eV/cell. The total magnetization is 0.0 Bohr magnetons per cell. The calculation puts the total energy at -6.066 eV per atom.

The structure belongs to space group P4/mmm (No. 123); the cell edges are 3.972, 3.972 and 4.677 Å and the angles 90.00°, 90.00° and 90.00°. Symmetry generates all atoms from Sn at (0.000, 0.000, 0.000), Mo at (0.000, 0.500, 0.500), H at (0.000, 0.000, 0.500) and Au at (0.500, 0.500, 0.000).

4.
First-principles (GGA-PBE) data for a geometry-optimized SrMo2HAu structure, as listed in the Alexandria database.

The density of states at the Fermi level comes out at 5.34 states/eV/cell. The total magnetization is 5.9 Bohr magnetons per cell. The calculation puts the total energy at -4.568 eV per atom.

The structure belongs to space group P4/mmm (No. 123); the cell edges are 5.453, 5.453 and 3.548 Å and the angles 90.00°, 90.00° and 90.00°. Symmetry generates all atoms from Sr at (0.000, 0.000, 0.000), Mo at (0.000, 0.500, 0.500), H at (0.500, 0.500, 0.000) and Au at (0.500, 0.500, 0.500).